Here is a relaxed Ho6Ag5Ru crystal from Alexandria via LeMat-Bulk. Energies are from PBE-GGA.

Results
magnetic moment	0.0	μB per cell
DFT formation energy	-0.35	eV per atom
E_tot	-4.600	eV/atom

```
data_Ho6Ag5Ru
_space_group_name_H-M_alt 'P 1 2/m 1'
_space_group_IT_number 10
_cell_length_a 5.060
_cell_length_b 7.174
_cell_length_c 7.995
_cell_angle_alpha 90.00
_cell_angle_beta 108.33
_cell_angle_gamma 90.00
loop_
_space_group_symop_operation_xyz
'x,y,z'
'-x,-y,-z'
'-x,y,-z'
'x,-y,z'
loop_
_atom_site_label
_atom_site_type_symbol
_atom_site_fract_x
_atom_site_fract_y
_atom_site_fract_z
_atom_site_occupancy
Ho1 Ho 0.000 0.234 0.000 1
Ho2 Ho 0.342 0.242 0.682 1
Ag1 Ag 0.166 0.500 0.334 1
Ag2 Ag 0.172 0.000 0.345 1
Ag3 Ag 0.500 0.500 0.000 1
Ru1 Ru 0.500 0.000 0.000 1
```


Here is a relaxed In2SbSI crystal from Alexandria via LeMat-Bulk. Energies are from PBE-GGA.

Results
magnetic moment	0.7	μB per cell
E_tot	-2.443	eV/atom

```
data_In2SbSI
_space_group_name_H-M_alt 'P 4/m m m'
_space_group_IT_number 123
_space_group_name_Hall '-P 4 2'
_cell_length_a 6.165
_cell_length_b 6.165
_cell_length_c 5.070
_cell_angle_alpha 90.00
_cell_angle_beta 90.00
_cell_angle_gamma 90.00
loop_
_atom_site_label
_atom_site_type_symbol
_atom_site_fract_x
_atom_site_fract_y
_atom_site_fract_z
_atom_site_occupancy
In1 In 0.000 0.500 0.000 1
Sb1 Sb 0.000 0.000 0.500 1
S1 S 0.500 0.500 0.500 1
I1 I 0.500 0.500 0.000 1
```


Here is a relaxed ReRu2O crystal from Alexandria via LeMat-Bulk. Energies are from PBE-GGA.

Results
energy above the most stable polymorph in this dataset	101	kJ/mol of formula units
magnetic moment	0.0	μB per cell
E_tot	-8.321	eV/atom

```
data_ReRu2O
_space_group_name_H-M_alt 'F m -3 m'
_space_group_IT_number 225
_space_group_name_Hall '-F 4 2 3'
_cell_length_a 5.955
_cell_length_b 5.955
_cell_length_c 5.955
_cell_angle_alpha 90.00
_cell_angle_beta 90.00
_cell_angle_gamma 90.00
loop_
_atom_site_label
_atom_site_type_symbol
_atom_site_fract_x
_atom_site_fract_y
_atom_site_fract_z
_atom_site_occupancy
Re1 Re 0.000 0.000 0.000 1
Ru1 Ru 0.250 0.250 0.250 1
O1 O 0.000 0.000 0.500 1
```


Look up the E_tot of the first one. -4.600 eV/atom


The highest magnetic moment belongs to which entry? In2SbSI


Please write out number 2 again, unchanged.
Here is a relaxed In2SbSI crystal from Alexandria via LeMat-Bulk. Energies are from PBE-GGA.

Results
magnetic moment	0.7	μB per cell
E_tot	-2.443	eV/atom

```
data_In2SbSI
_space_group_name_H-M_alt 'P 4/m m m'
_space_group_IT_number 123
_space_group_name_Hall '-P 4 2'
_cell_length_a 6.165
_cell_length_b 6.165
_cell_length_c 5.070
_cell_angle_alpha 90.00
_cell_angle_beta 90.00
_cell_angle_gamma 90.00
loop_
_atom_site_label
_atom_site_type_symbol
_atom_site_fract_x
_atom_site_fract_y
_atom_site_fract_z
_atom_site_occupancy
In1 In 0.000 0.500 0.000 1
Sb1 Sb 0.000 0.000 0.500 1
S1 S 0.500 0.500 0.500 1
I1 I 0.500 0.500 0.000 1
```